VASP calculation (PBE) on an optimized crystal structure of LiPd3Pt2.

Results
VASP energy = -30.42 eV for the cell shown
Magnetic moment = 0.28 μB/f.u.

Cell: 2.7706 2.7706 13.6057 Å, 90.00 90.00 120.00°
Closest atoms and distances in Å follow each position.
Atoms (fractional coordinates):
Li 0.0000 0.0000 0.0000  6 Pd 2.66, 6 Li 2.77
Pd 0.0000 0.0000 0.5000  6 Pd 2.77, 6 Pt 2.82
Pd 0.3333 0.6667 0.8437  3 Li 2.66, 6 Pd 2.77, 3 Pt 2.85
Pd 0.6667 0.3333 0.1563  3 Li 2.66, 6 Pd 2.77, 3 Pt 2.85
Pt 0.3333 0.6667 0.3296  6 Pt 2.77, 6 Pd 2.82-2.85
Pt 0.6667 0.3333 0.6704  6 Pt 2.77, 6 Pd 2.82-2.85